Computed, not measured: crystalline NaTlC at its relaxed geometry at the PBE level of DFT. Values from VASP.

Summary:
Fermi-level density of states	0.02	states/eV per atom
SG	P-6m2, No. 187
ΔE_f	1.071	eV per atom
total energy	-9.70	eV for the cell shown
total magnetization	0.00	μB per formula unit

Quantum ESPRESSO input file:
```
&SYSTEM
  ibrav = 0, nat = 3, ntyp = 3
/
ATOMIC_SPECIES
Na 22.99 Na.upf
Tl 204.38 Tl.upf
C 12.01 C.upf
ATOMIC_POSITIONS angstrom
Na 0.000 0.000 0.000
Tl 0.000 2.262 2.346
C 1.959 1.131 2.346
CELL_PARAMETERS angstrom
3.918 0.000 0.000
-1.959 3.393 0.000
0.000 0.000 4.693
```